[1]
Material: YZn4Au4
Method: DFT, GGA-PBE
State: relaxed

The crystal system is tetragonal. For the formation energy, the calculation gives -0.333 eV per atom. For the calculated density, the calculation gives 11.43 g cm⁻³.

It has space group I4/m (No. 87), with a = 8.574 Å, b = 8.574 Å, c = 4.502 Å, α = 90.00°, β = 90.00° and γ = 90.00°. Symmetry generates all atoms from Y at (0.000, 0.000, 0.000), Zn at (0.081, 0.374, 0.000) and Au at (0.124, 0.217, 0.500).

[2]
Material: YZn3Au2
Method: DFT, GGA-PBE
State: relaxed

The crystal system is monoclinic. For the formation energy, the calculation gives -0.444 eV per atom. For the calculated density, the calculation gives 10.02 g cm⁻³.

It has space group C2/m (No. 12), with a = 14.070 Å, b = 4.219 Å, c = 8.581 Å, α = 90.00°, β = 117.86° and γ = 90.00°. Symmetry generates all atoms from Y at (0.138, 0.000, 0.016), Zn at (0.054, 0.000, 0.393), Zn at (0.094, 0.500, 0.696), Zn at (0.207, 0.500, 0.523), Au at (0.048, 0.500, 0.186) and Au at (0.219, 0.000, 0.737).

[3]
Material: YZnAu3
Method: DFT, GGA-PBE
State: relaxed

The crystal system is cubic. For the formation energy, the calculation gives -0.189 eV per atom. For the calculated density, the calculation gives 10.99 g cm⁻³. The value obtained for the excess energy over the best structure of this formula in the dataset is 353 meV per atom.

It has space group Pm-3m (No. 221), with a = 4.829 Å, b = 4.829 Å, c = 4.829 Å, α = 90.00°, β = 90.00° and γ = 90.00°. Symmetry generates all atoms from Y at (0.000, 0.000, 0.000), Zn at (0.500, 0.500, 0.500) and Au at (0.000, 0.500, 0.500).

[4]
Material: Y2ZnAu
Method: DFT, GGA-PBE
State: relaxed

The crystal system is trigonal. For the formation energy, the calculation gives -0.250 eV per atom. For the calculated density, the calculation gives 6.75 g cm⁻³.

It has space group R3m (No. 160, hexagonal axes), with a = 4.0229 Å, b = 4.0229 Å, c = 23.1808 Å, α = 90.00°, β = 90.00° and γ = 120.00°. Symmetry generates all atoms from Y at (0.0000, 0.0000, 0.0000), Y at (0.0000, 0.0000, 0.2042), Zn at (0.0000, 0.0000, 0.4573) and Au at (0.0000, 0.0000, 0.7447).

[5]
Material: YZn9Au2
Method: DFT, GGA-PBE
State: relaxed

The crystal system is hexagonal. For the formation energy, the calculation gives -0.177 eV per atom. For the calculated density, the calculation gives 8.60 g cm⁻³. The value obtained for the excess energy over the best structure of this formula in the dataset is 95 meV per atom.

It has space group P6/mmm (No. 191), with a = 8.7380 Å, b = 8.7380 Å, c = 3.1274 Å, α = 90.00°, β = 90.00° and γ = 120.00°. Symmetry generates all atoms from Y at (0.0000, 0.0000, 0.0000), Zn at (0.0000, 0.5000, 0.0000), Zn at (0.1808, 0.3616, 0.5000) and Au at (0.3333, 0.6667, 0.0000).

[6]
Material: Y2Zn3Au
Method: DFT, GGA-PBE
State: relaxed

The crystal system is orthorhombic. For the formation energy, the calculation gives -0.454 eV per atom. For the calculated density, the calculation gives 7.31 g cm⁻³. The value obtained for the excess energy over the best structure of this formula in the dataset is 83 meV per atom.

It has space group Imm2 (No. 44), with a = 3.830 Å, b = 4.225 Å, c = 16.032 Å, α = 90.00°, β = 90.00° and γ = 90.00°. Symmetry generates all atoms from Y at (0.000, 0.000, 0.000), Y at (0.000, 0.500, 0.249), Zn at (0.000, 0.000, 0.588), Zn at (0.000, 0.500, 0.665), Zn at (0.000, 0.500, 0.821) and Au at (0.000, 0.000, 0.426).

[7]
Material: Y2ZnAu2
Method: DFT, GGA-PBE
State: relaxed

The crystal system is orthorhombic. For the formation energy, the calculation gives -0.624 eV per atom. For the calculated density, the calculation gives 8.73 g cm⁻³.

It has space group Ibam (No. 72), with a = 6.852 Å, b = 12.083 Å, c = 5.857 Å, α = 90.00°, β = 90.00° and γ = 90.00°. Symmetry generates all atoms from Y at (0.186, 0.152, 0.000), Zn at (0.000, 0.500, 0.250) and Au at (0.237, 0.110, 0.500).

[8]
Material: YZn2Au2
Method: DFT, GGA-PBE
State: relaxed

The crystal system is tetragonal. For the formation energy, the calculation gives -0.368 eV per atom. For the calculated density, the calculation gives 10.95 g cm⁻³. The value obtained for the excess energy over the best structure of this formula in the dataset is 178 meV per atom.

It has space group P4/mbm (No. 127), with a = 7.802 Å, b = 7.802 Å, c = 3.059 Å, α = 90.00°, β = 90.00° and γ = 90.00°. Symmetry generates all atoms from Y at (0.000, 0.000, 0.000), Zn at (0.117, 0.383, 0.000) and Au at (0.181, 0.681, 0.500).

[9]
Material: Y2ZnAu
Method: DFT, GGA-PBE
State: relaxed

The crystal system is trigonal. For the formation energy, the calculation gives -0.405 eV per atom. For the calculated density, the calculation gives 7.00 g cm⁻³.

It has space group R-3m (No. 166, hexagonal axes), with a = 3.8822 Å, b = 3.8822 Å, c = 23.9970 Å, α = 90.00°, β = 90.00° and γ = 120.00°. Symmetry generates all atoms from Y at (0.0000, 0.0000, 0.2475), Zn at (0.0000, 0.0000, 0.0000) and Au at (0.0000, 0.0000, 0.5000).

[10]
Material: Y3Zn9Au2
Method: DFT, GGA-PBE
State: relaxed

The crystal system is orthorhombic. For the formation energy, the calculation gives -0.419 eV per atom. For the calculated density, the calculation gives 8.07 g cm⁻³.

It has space group Immm (No. 71), with a = 4.358 Å, b = 8.954 Å, c = 13.175 Å, α = 90.00°, β = 90.00° and γ = 90.00°. Symmetry generates all atoms from Y at (0.000, 0.000, 0.000), Y at (0.000, 0.000, 0.302), Zn at (0.000, 0.279, 0.136), Zn at (0.000, 0.362, 0.331), Zn at (0.000, 0.500, 0.000) and Au at (0.000, 0.200, 0.500).

[11]
Material: YZn2Au4
Method: DFT, GGA-PBE
State: relaxed

The crystal system is tetragonal. For the formation energy, the calculation gives -0.508 eV per atom. For the calculated density, the calculation gives 12.80 g cm⁻³.

It has space group I4/mmm (No. 139), with a = 7.003 Å, b = 7.003 Å, c = 5.330 Å, α = 90.00°, β = 90.00° and γ = 90.00°. Symmetry generates all atoms from Y at (0.000, 0.000, 0.000), Zn at (0.000, 0.500, 0.250) and Au at (0.200, 0.200, 0.500).

[12]
Material: Y3Zn4Au4
Method: DFT, GGA-PBE
State: relaxed

The crystal system is triclinic. For the formation energy, the calculation gives -0.613 eV per atom. For the calculated density, the calculation gives 9.67 g cm⁻³.

It has space group P-1 (No. 2), with a = 3.617 Å, b = 4.423 Å, c = 14.405 Å, α = 81.18°, β = 82.82° and γ = 89.98°. Symmetry generates all atoms from Y at (0.000, 0.000, 0.000), Y at (0.145, 0.644, 0.712), Zn at (0.258, 0.259, 0.484), Zn at (0.404, 0.905, 0.191), Au at (0.311, 0.813, 0.375) and Au at (0.451, 0.450, 0.099).